i.
VASP calculation (GGA-PBE) on PtClF3 after structural relaxation.

The structure in extended XYZ format:
```
5
Lattice="4.1974 0.0000 0.0000 0.0000 4.1974 0.0000 0.0000 0.0000 4.1974" Properties=species:S:1:pos:R:3 pbc="T T T"
Pt 0.0000 0.0000 0.0000
Cl 2.0987 2.0987 2.0987
F 0.0000 0.0000 2.0987
F 0.0000 2.0987 0.0000
F 2.0987 0.0000 0.0000
```

Results
* calculated density: 6.456 g/cm³


ii.
VASP calculation (GGA-PBE) on PtClF3 after structural relaxation.

The structure in extended XYZ format:
```
10
Lattice="5.6976 0.0000 0.0000 0.0000 5.0535 0.0000 -0.0101 0.0000 6.3896" Properties=species:S:1:pos:R:3 pbc="T T T"
Pt 1.4245 0.0000 0.0569
Pt 4.2630 2.5267 6.3327
Cl 1.4237 3.9603 2.0405
Cl 4.2638 1.4335 4.3492
F 0.0032 3.8071 5.6233
F 1.4148 1.0055 4.7589
F 2.8235 3.8050 5.6230
F 2.8640 1.2783 0.7666
F 4.2727 3.5323 1.6307
F 5.6843 1.2804 0.7663
```

Results
* calculated density: 5.190 g/cm³


Least stable structure: i


i.
VASP calculation (GGA-PBE) on PtClF3 after structural relaxation.

The structure in extended XYZ format:
```
20
Lattice="5.7887 0.0000 0.0000 0.0000 5.7887 0.0000 0.0000 0.0000 9.8795" Properties=species:S:1:pos:R:3 pbc="T T T"
Pt 0.9230 3.8673 0.0000
Pt 1.9214 0.9230 2.4699
Pt 3.8673 4.8657 7.4096
Pt 4.8657 1.9214 4.9397
Cl 0.9465 2.1929 6.1040
Cl 2.1929 4.8422 3.6341
Cl 3.5958 0.9465 8.5738
Cl 4.8422 3.5958 1.1642
F 0.0052 1.0206 3.3784
F 0.7139 2.2006 8.9789
F 1.0206 5.7835 0.9085
F 1.9197 2.8839 1.4234
F 2.2006 5.0748 6.5091
F 2.8839 3.8690 8.8330
F 2.9049 1.9197 3.8933
F 3.5881 0.7139 1.5694
F 3.8690 2.9049 6.3632
F 4.7681 0.0052 5.8482
F 5.0748 3.5881 4.0392
F 5.7835 4.7681 8.3181
```

Results
* calculated density: 5.769 g/cm³


ii.
VASP calculation (GGA-PBE) on PtClF3 after structural relaxation.

The structure in extended XYZ format:
```
5
Lattice="4.3111 0.0000 0.0000 0.0000 4.3111 0.0000 0.0000 0.0000 4.3111" Properties=species:S:1:pos:R:3 pbc="T T T"
Pt 0.0000 0.0000 0.0000
Cl 2.1556 2.1556 2.1556
F 0.0000 2.1556 2.1556
F 2.1556 0.0000 2.1556
F 2.1556 2.1556 0.0000
```

Results
* calculated density: 5.959 g/cm³


Least stable structure: ii


i.
VASP calculation (GGA-PBE) on Pt2ClF after structural relaxation.

The structure in extended XYZ format:
```
8
Lattice="-3.3338 3.3338 2.8103 3.3338 -3.3338 2.8103 3.3338 3.3338 -2.8103" Properties=species:S:1:pos:R:3 pbc="T T T"
Pt 5.0007 1.6158 -0.7026
Pt 1.6158 1.6669 0.7026
Pt -1.6669 1.7180 2.1077
Pt 1.7180 1.6669 3.5129
Cl 3.3338 0.0000 1.4052
Cl 0.0000 0.0000 2.8103
F 0.0000 0.0000 0.0000
F 0.0000 3.3338 1.4052
```

Results
* calculated density: 11.819 g/cm³


ii.
VASP calculation (GGA-PBE) on Pt2ClF after structural relaxation.

The structure in extended XYZ format:
```
4
Lattice="0.0000 3.0911 3.0911 3.0911 0.0000 3.0911 3.0911 3.0911 0.0000" Properties=species:S:1:pos:R:3 pbc="T T T"
Pt 1.5456 1.5456 1.5456
Pt 4.6367 4.6367 4.6367
Cl 0.0000 0.0000 0.0000
F 3.0911 3.0911 3.0911
```

Results
* calculated density: 12.498 g/cm³


Least stable structure: ii


i.
VASP calculation (GGA-PBE) on PtClF after structural relaxation.

The structure in extended XYZ format:
```
6
Lattice="3.3271 0.0000 0.0000 -0.0014 5.6038 0.0000 -0.0185 -0.0161 6.1405" Properties=species:S:1:pos:R:3 pbc="T T T"
Pt 0.0001 1.4011 0.0798
Pt 3.3071 4.1866 6.0607
Cl 1.6430 4.1870 4.4920
Cl 1.6643 1.4007 1.6485
F -0.0010 4.2025 1.8954
F 3.3083 1.3852 4.2451
```

Results
* calculated density: 7.239 g/cm³


ii.
VASP calculation (GGA-PBE) on PtClF after structural relaxation.

The structure in extended XYZ format:
```
12
Lattice="7.1200 0.0000 0.0000 0.0000 4.0198 0.0000 0.0000 0.0000 9.2102" Properties=species:S:1:pos:R:3 pbc="T T T"
Pt 0.2284 1.0050 2.2708
Pt 3.3316 3.0149 6.8759
Pt 3.7884 1.0050 2.3343
Pt 6.8916 3.0149 6.9394
Cl 1.5262 3.0149 5.4469
Cl 2.0338 1.0050 0.8418
Cl 5.0862 3.0149 8.3684
Cl 5.5938 1.0050 3.7633
F 0.0132 3.0149 2.0050
F 3.5468 1.0050 6.6101
F 3.5732 3.0149 2.6001
F 7.1068 1.0050 7.2052
```

Results
* calculated density: 6.288 g/cm³


Least stable structure: i


i.
VASP calculation (GGA-PBE) on PtCl2F2 after structural relaxation.

The structure in extended XYZ format:
```
10
Lattice="-3.1023 5.8032 2.9170 3.1023 -5.8032 2.9170 3.1023 5.8032 -2.9170" Properties=species:S:1:pos:R:3 pbc="T T T"
Pt 0.0000 0.0000 1.4585
Pt 0.0000 0.0000 4.3755
Cl 1.3732 1.3758 0.0000
Cl 1.3732 -1.3758 2.9170
Cl 1.7291 7.1790 0.0000
Cl 1.7291 4.4274 2.9170
F 4.9435 1.2637 0.0000
F 1.8412 4.5395 0.0000
F 1.2611 1.2637 2.9170
F -1.8412 4.5395 2.9170
```

Results
* calculated density: 4.806 g/cm³


ii.
VASP calculation (GGA-PBE) on PtCl2F2 after structural relaxation.

The structure in extended XYZ format:
```
10
Lattice="5.5348 0.0000 0.0000 0.0000 5.5348 0.0000 0.0000 0.0000 6.7924" Properties=species:S:1:pos:R:3 pbc="T T T"
Pt 0.0000 0.0000 0.0000
Pt 2.7674 2.7674 0.0000
Cl 0.7084 2.0590 3.3962
Cl 2.0590 4.8264 3.3962
Cl 3.4758 0.7084 3.3962
Cl 4.8264 3.4758 3.3962
F 0.9749 3.7423 0.0000
F 1.7925 0.9749 0.0000
F 3.7423 4.5599 0.0000
F 4.5599 1.7925 0.0000
```

Results
* calculated density: 4.852 g/cm³


Least stable structure: i


i.
VASP calculation (GGA-PBE) on PuCl2F2 after structural relaxation.

The structure in extended XYZ format:
```
5
Lattice="3.6503 -4.3771 0.0000 3.6503 4.3771 0.0000 -0.0778 0.0000 4.1282" Properties=species:S:1:pos:R:3 pbc="T T T"
Pu 0.0000 0.0000 0.0000
Cl 1.7002 0.0000 2.0962
Cl 5.5224 0.0000 2.0320
F 3.6503 2.3563 0.0000
F 3.6503 -2.3563 0.0000
```

Results
* calculated density: 4.442 g/cm³


ii.
VASP calculation (GGA-PBE) on PuCl2F2 after structural relaxation.

The structure in extended XYZ format:
```
10
Lattice="-0.7350 -3.1074 -2.1769 -0.6638 -2.4421 3.7100 -12.2489 3.0337 -0.1947" Properties=species:S:1:pos:R:3 pbc="T T T"
Pu 0.0000 0.0000 0.0000
Pu -6.4564 0.2958 1.7577
F -11.4424 1.1891 -1.2643
F -7.9980 -0.9672 0.6507
Cl -1.8624 -0.8419 1.8306
Cl -11.0503 1.4335 1.6848
F -5.6498 -1.5485 0.6877
F -2.2054 -3.7049 2.6027
Cl -5.2576 -1.3043 3.6369
Cl -7.6552 1.8959 -0.1216
```

Results
* calculated density: 5.351 g/cm³


Least stable structure: ii